La4Rh2C: relaxed, PBE.

Computed properties:
Energy relative to the elements ... -0.2909 eV per atom
SG ... I4/mmm

Structure (POSCAR):
```
La4Rh2C
1.0
-2.529 2.529 7.260
2.529 -2.529 7.260
2.529 2.529 -7.260
La Rh C
4 2 1
Cartesian
2.529 0.000 0.000 La
0.000 0.000 2.714 La
0.000 2.529 0.000 La
0.000 0.000 11.805 La
0.000 0.000 5.237 Rh
0.000 0.000 9.282 Rh
0.000 0.000 0.000 C
```